# NaNpVF6

A geometry-optimized NaNpVF6 structure (PBE+U, Alexandria).

abc: 5.8612 5.8612 9.5579
angles: 90.00 90.00 120.00
Closest atoms and distances in Å follow each position.
Element x y z (fractional)
Na (0.0000, 0.0000, 0.0000)  6 F 2.40
Na (0.0000, 0.0000, 0.5000)  6 F 2.40
Np (0.3333, 0.6667, 0.2500)  6 F 2.32
Np (0.6667, 0.3333, 0.7500)  6 F 2.32
V (0.3333, 0.6667, 0.7500)  6 F 2.13
V (0.6667, 0.3333, 0.2500)  6 F 2.13
F (0.0246, 0.3601, 0.6322)  1 V 2.13, 1 Np 2.32
F (0.0246, 0.6645, 0.8678)  1 V 2.13, 1 Np 2.32
F (0.3355, 0.3601, 0.8678)  1 V 2.13, 1 Np 2.32
F (0.3355, 0.9754, 0.6322)  1 V 2.13, 1 Np 2.32
F (0.3601, 0.0246, 0.1322)  1 V 2.13, 1 Np 2.32
F (0.3601, 0.3355, 0.3678)  1 V 2.13, 1 Np 2.32
F (0.6399, 0.6645, 0.6322)  1 V 2.13, 1 Np 2.32
F (0.6399, 0.9754, 0.8678)  1 V 2.13, 1 Np 2.32
F (0.6645, 0.0246, 0.3678)  1 V 2.13, 1 Np 2.32
F (0.6645, 0.6399, 0.1322)  1 V 2.13, 1 Np 2.32
F (0.9754, 0.3355, 0.1322)  1 V 2.13, 1 Np 2.32
F (0.9754, 0.6399, 0.3678)  1 V 2.13, 1 Np 2.32

Results
Calculated total energy = -119.39 eV per cell
Fermi-level density of states = 3.432 states/eV/f.u.